Computed, not measured: a geometry-optimized LiHfTcTe structure at the PBE level of DFT.

ΔE to the lowest computed polymorph = 312 meV per atom
Final energy = -6.31 eV/atom

Lattice parameters (Å, degrees): 6.5678 6.5678 6.5678 90.00 90.00 90.00
Space group F-43m (No. 216)
Unique sites:
Li 0.0000 0.0000 0.0000 (multiplicity 4)
Hf 0.0000 0.0000 0.5000 (multiplicity 4)
Tc 0.2500 0.2500 0.7500 (multiplicity 4)
Te 0.2500 0.2500 0.2500 (multiplicity 4)